No. 1
PBE-GGA ScBe2Zn9, relaxed; E = -2.192 eV/atom; total magnetization = 0.000 μB/cell; crystal system = tetragonal
1.0
-5.1216 5.1216 3.2421
5.1216 -5.1216 3.2421
5.1216 5.1216 -3.2421
Sc Be Zn
2 4 18
Direct
0.3750 0.6250 0.7500
0.6250 0.3750 0.2500
0.0000 0.0000 0.0000
0.0000 0.0000 0.5000
0.0000 0.5000 0.0000
0.5000 0.0000 0.5000
0.1250 0.8750 0.2500
0.1300 0.5604 0.3271
0.1300 0.8029 0.5696
0.1971 0.2667 0.3271
0.1971 0.8700 0.9304
0.2667 0.1971 0.8271
0.2667 0.4396 0.0696
0.4396 0.2667 0.5696
0.4396 0.8700 0.1729
0.5604 0.1300 0.8271
0.5604 0.7333 0.4304
0.7333 0.5604 0.9304
0.7333 0.8029 0.1729
0.8029 0.1300 0.0696
0.8029 0.7333 0.6729
0.8700 0.1971 0.4304
0.8700 0.4396 0.6729
0.8750 0.1250 0.7500

=====

No. 2
PBE-GGA ScBeZn11, relaxed; E = -1.969 eV/atom; total magnetization = 0.000 μB/cell; crystal system = monoclinic
1.0
2.5721 -6.1152 0.0000
2.5721 6.1152 0.0000
-2.5128 0.0000 6.0953
Sc Be Zn
1 1 11
Direct
0.0000 0.0000 0.0000
0.5000 0.5000 0.5000
0.0000 0.0000 0.5000
0.0000 0.5000 0.0000
0.0157 0.3587 0.3545
0.2967 0.5073 0.7803
0.3587 0.0157 0.3545
0.4927 0.7033 0.2197
0.5000 0.0000 0.0000
0.5073 0.2967 0.7803
0.6413 0.9843 0.6455
0.7033 0.4927 0.2197
0.9843 0.6413 0.6455

=====

No. 3
PBE-GGA Zr2ScBe, relaxed; E = -6.579 eV/atom; total magnetization = 0.000 μB/cell; crystal system = orthorhombic
1.0
3.0501 -4.1467 0.0000
3.0501 4.1467 0.0000
0.0000 0.0000 3.1568
Zr Sc Be
2 1 1
Direct
0.0000 0.5000 0.0000
0.5000 0.0000 0.0000
0.0000 0.0000 0.5000
0.5000 0.5000 0.5000

=====

What is the total magnetization in the third record? 0.000 μB/cell

=====

The highest E belongs to which entry? ScBeZn11

=====

What is the formula in the second record? ScBeZn11